Computed, not measured: a relaxed structure of La2SmCr2C4 at the PBE-GGA level of DFT.

Unit cell a=3.5388 b=7.0528 c=6.1752 alpha=108.02 beta=90.00 gamma=104.53
Closest atoms and distances in Å follow each position.
Positions (direct):
La  0.8659  0.7318  0.4586  5 C 2.67-2.89
La  0.1341  0.2682  0.5414  5 C 2.67-2.89
Sm  0.0000  0.0000  0.0000  6 C 2.55-2.77
Cr  0.6826  0.3652  0.0030  4 C 1.81-2.00
Cr  0.3174  0.6348  0.9970  4 C 1.81-2.00
C  0.7862  0.5724  0.8389  3 Cr 1.99-2.00
C  0.4399  0.8799  0.2262  1 Cr 1.81
C  0.2138  0.4276  0.1611  3 Cr 1.99-2.00
C  0.5601  0.1201  0.7738  1 Cr 1.81

Output
Its energy relative to the elements is -80.3 meV per atom. Its final energy is -7.938 eV per atom. As for the magnetization: 0.0 μB/cell. Its space group is C2/m (12). As for the calculated volume: 15.7 Å³ per atom.

Computed, not measured: a relaxed structure of Ba3Tl3Zn at the PBE-GGA level of DFT.

Unit cell a=4.5048 b=7.0798 c=17.5591 alpha=82.42 beta=82.63 gamma=71.45
Closest atoms and distances in Å follow each position.
Positions (direct):
Tl  0.0127  0.2088  0.7658  1 Zn 3.14, 1 Tl 3.37
Tl  0.8941  0.1327  0.0791  2 Tl 3.37-3.42, 6 Ba 3.65-3.70
Tl  0.8222  0.8168  0.5388  3 Zn 2.90-2.96
Tl  0.9873  0.7912  0.2342  1 Zn 3.14, 1 Tl 3.37
Tl  0.1059  0.8673  0.9209  2 Tl 3.37-3.42, 6 Ba 3.65-3.70
Tl  0.1778  0.1832  0.4612  3 Zn 2.90-2.96
Ba  0.4924  0.6255  0.3896  2 Zn 3.50, 6 Tl 3.61-3.84
Ba  0.5076  0.3745  0.6104  2 Zn 3.50, 6 Tl 3.61-3.84
Ba  0.7304  0.7779  0.7613  2 Zn 3.51, 6 Tl 3.67-3.86
Ba  0.2696  0.2221  0.2387  2 Zn 3.51, 6 Tl 3.67-3.86
Ba  0.6132  0.6952  0.0785  7 Tl 3.63-3.77
Ba  0.3868  0.3048  0.9215  7 Tl 3.63-3.77
Zn  0.2041  0.9734  0.6185  4 Tl 2.90-3.14
Zn  0.7959  0.0266  0.3815  4 Tl 2.90-3.14

Output
Its energy relative to the elements is -334.4 meV per atom. Its final energy is -2.354 eV per atom. As for the magnetization: 0.0 μB/cell. Its space group is C2/m (12). As for the calculated volume: 37.4 Å³ per atom.

Computed, not measured: a relaxed structure of Sm4MgH4O8 at the PBE-GGA level of DFT.

Unit cell a=3.6788 b=5.7664 c=11.8357 alpha=90.91 beta=90.00 gamma=90.00
Closest atoms and distances in Å follow each position.
Positions (direct):
O  0.5000  0.0257  0.0491  1 H 1.01
O  0.0000  0.3011  0.7996  1 Mg 2.10, 3 Sm 2.33-2.34
O  0.5000  0.7504  0.2621  3 Sm 2.23-2.26
O  0.0000  0.2259  0.3086  3 Sm 2.22-2.30
O  0.0000  0.6520  0.4621  1 H 0.97
O  0.5000  0.3330  0.5732  1 H 0.98
O  0.0000  0.8069  0.8789  1 H 0.99
O  0.5000  0.8141  0.6805  3 Sm 2.23-2.29, 1 H 2.34
Mg  0.0000  0.4841  0.9546  2 O 2.08-2.10, 1 H 2.26
H  0.5000  0.2008  0.0497  1 O 1.01
H  0.5000  0.1647  0.5843  1 O 0.98
H  0.0000  0.8161  0.4436  1 O 0.97
H  0.0000  0.8762  0.9557  1 O 0.99
Sm  0.0000  0.5820  0.6587  6 O 2.29-2.53
Sm  0.5000  0.4334  0.3678  5 O 2.23-2.48
Sm  0.0000  0.9223  0.1914  3 O 2.22-2.26
Sm  0.5000  0.0612  0.8275  5 O 2.23-2.44

Output
Its final energy is -6.617 eV per atom. As for the magnetization: 0.0 μB/cell. Its space group is Pm (6). As for the calculated volume: 14.8 Å³ per atom.

Computed, not measured: a relaxed structure of Li2Zn7Ag2 at the PBE-GGA level of DFT.

Unit cell a=4.9390 b=6.2379 c=6.2379 alpha=90.29 beta=73.13 gamma=73.13
Closest atoms and distances in Å follow each position.
Positions (direct):
Zn  0.8432  0.4079  0.9278  4 Zn 2.52-2.72, 2 Li 2.65-2.78, 2 Ag 2.67-2.72
Zn  0.1568  0.0722  0.5921  4 Zn 2.52-2.72, 2 Li 2.65-2.78, 2 Ag 2.67-2.72
Zn  0.0000  0.0000  0.0000  4 Zn 2.52, 2 Li 2.68
Zn  0.8322  0.4037  0.4037  6 Zn 2.72-3.01, 3 Li 2.78-2.86, 2 Ag 2.79
Zn  0.1678  0.5963  0.5963  6 Zn 2.72-3.01, 3 Li 2.78-2.86, 2 Ag 2.79
Zn  0.1568  0.5921  0.0722  4 Zn 2.52-2.72, 2 Li 2.65-2.78, 2 Ag 2.67-2.72
Zn  0.8432  0.9278  0.4079  4 Zn 2.52-2.72, 2 Li 2.65-2.78, 2 Ag 2.67-2.72
Li  0.4473  0.2402  0.2402  8 Zn 2.65-2.86, 2 Ag 2.90
Li  0.5527  0.7598  0.7598  8 Zn 2.65-2.86, 2 Ag 2.90
Ag  0.5000  0.2346  0.7654  8 Zn 2.67-2.96, 2 Li 2.90
Ag  0.5000  0.7654  0.2346  8 Zn 2.67-2.96, 2 Li 2.90

Output
Its energy relative to the elements is -71.5 meV per atom. Its final energy is -1.749 eV per atom. Its energy above the most stable polymorph in this dataset is 0.039 eV/atom. As for the magnetization: 0.0 μB/cell. Its space group is C2/m (12). As for the calculated volume: 15.9 Å³ per atom.

Computed, not measured: a relaxed structure of Y4GaTe at the PBE-GGA level of DFT.

Unit cell a=4.4783 b=7.5501 c=20.2560 alpha=90.00 beta=90.00 gamma=90.00
Closest atoms and distances in Å follow each position.
Positions (direct):
Y  0.2500  0.5313  0.4292  3 Ga 2.98-3.19, 1 Te 3.15
Y  0.2500  0.5944  0.1413  2 Ga 3.00, 2 Te 3.12-3.19
Y  0.2500  0.0313  0.0708  3 Ga 2.98-3.19, 1 Te 3.15
Y  0.7500  0.8611  0.4670  3 Ga 3.18-3.20, 5 Y 3.35-3.55
Y  0.2500  0.0944  0.3587  2 Ga 3.00, 2 Te 3.12-3.19
Y  0.7500  0.3611  0.0330  3 Ga 3.18-3.20, 5 Y 3.35-3.55
Y  0.7500  0.9258  0.2118  1 Ga 3.13, 4 Te 3.15-3.17
Y  0.7500  0.4056  0.8587  2 Ga 3.00, 2 Te 3.12-3.19
Y  0.2500  0.5742  0.7118  1 Ga 3.13, 4 Te 3.15-3.17
Y  0.2500  0.1389  0.5330  3 Ga 3.18-3.20, 5 Y 3.35-3.55
Y  0.7500  0.9056  0.6413  2 Ga 3.00, 2 Te 3.12-3.19
Y  0.2500  0.6389  0.9670  3 Ga 3.18-3.20, 5 Y 3.35-3.55
Y  0.2500  0.0742  0.7882  1 Ga 3.13, 4 Te 3.15-3.17
Y  0.7500  0.9687  0.9292  3 Ga 2.98-3.19, 1 Te 3.15
Y  0.7500  0.4687  0.5708  3 Ga 2.98-3.19, 1 Te 3.15
Y  0.7500  0.4258  0.2882  1 Ga 3.13, 4 Te 3.15-3.17
Te  0.7500  0.7774  0.7912  7 Y 3.12-3.19
Te  0.2500  0.2226  0.2088  7 Y 3.12-3.19
Te  0.7500  0.2774  0.7088  7 Y 3.12-3.19
Te  0.2500  0.7226  0.2912  7 Y 3.12-3.19
Ga  0.7500  0.7714  0.0686  9 Y 2.98-3.20
Ga  0.2500  0.2286  0.9314  9 Y 2.98-3.20
Ga  0.2500  0.7286  0.5686  9 Y 2.98-3.20
Ga  0.7500  0.2714  0.4314  9 Y 2.98-3.20

Output
The formation energy (no corrections) comes out at -0.649 eV per atom. Its final energy is -5.987 eV per atom. Its energy above the most stable polymorph in this dataset is 0.000 eV/atom. As for the magnetization: 0.0 μB/cell. Its space group is Pnma (62). As for the calculated volume: 28.5 Å³ per atom.

Computed, not measured: a relaxed structure of NaSnBi2H at the PBE-GGA level of DFT.

Unit cell a=5.0008 b=5.0008 c=4.8408 alpha=90.00 beta=90.00 gamma=90.00
Closest atoms and distances in Å follow each position.
Positions (direct):
H  0.0000  0.0000  0.0000  2 Na 2.42, 4 Bi 2.50
Bi  0.5000  0.0000  0.0000  2 H 2.50
Bi  0.0000  0.5000  0.0000  2 H 2.50
Na  0.0000  0.0000  0.5000  2 H 2.42
Sn  0.5000  0.5000  0.5000  8 Bi 3.48, 4 Na 3.54

Output
Its final energy is -3.192 eV per atom. As for the magnetization: 0.0 μB/cell. Its space group is P4/mmm (123). As for the calculated volume: 24.2 Å³ per atom.

Computed, not measured: a relaxed structure of SrLi2CuF at the PBE-GGA level of DFT.

Unit cell a=4.2709 b=4.2709 c=5.1496 alpha=90.00 beta=90.00 gamma=90.00
Closest atoms and distances in Å follow each position.
Positions (direct):
Cu  0.5000  0.5000  0.5000  4 Sr 3.02, 8 Li 3.35
F  0.0000  0.0000  0.0000  4 Li 2.14
Sr  0.0000  0.0000  0.5000  2 F 2.57
Li  0.0000  0.5000  0.0000  2 F 2.14
Li  0.5000  0.0000  0.0000  2 F 2.14

Output
The formation energy (no corrections) comes out at -0.991 eV per atom. Its final energy is -3.287 eV per atom. As for the magnetization: 0.5 μB/cell. Its space group is P4/mmm (123). As for the calculated volume: 18.8 Å³ per atom.

Computed, not measured: a relaxed structure of LiIrRh3 at the PBE-GGA level of DFT.

Unit cell a=4.0805 b=4.0805 c=4.0805 alpha=90.00 beta=90.00 gamma=90.00
Closest atoms and distances in Å follow each position.
Positions (direct):
Li  0.0000  0.0000  0.0000  6 Rh 2.04
Rh  0.0000  0.0000  0.5000  2 Li 2.04
Rh  0.5000  0.0000  0.0000  2 Li 2.04
Rh  0.0000  0.5000  0.0000  2 Li 2.04
Ir  0.5000  0.5000  0.5000  12 Rh 2.89

Output
Its energy relative to the elements is 743.8 meV per atom. Its final energy is -5.822 eV per atom. Its energy above the most stable polymorph in this dataset is 0.794 eV/atom. As for the magnetization: 0.0 μB/cell. Its space group is Pm-3m (221). As for the calculated volume: 13.6 Å³ per atom.

Computed, not measured: a relaxed structure of Sc6AsC3 at the PBE-GGA level of DFT.

Unit cell a=3.5516 b=9.7116 c=9.8651 alpha=109.07 beta=90.00 gamma=90.00
Closest atoms and distances in Å follow each position.
Positions (direct):
Sc  0.7500  0.7652  0.7679  3 C 2.24-2.45
Sc  0.2500  0.0715  0.9158  3 C 2.22-2.41
Sc  0.7500  0.6978  0.2659  3 C 2.40-2.41
Sc  0.7500  0.9285  0.0842  3 C 2.22-2.41
Sc  0.2500  0.3022  0.7341  3 C 2.40-2.41
Sc  0.2500  0.6111  0.9519  4 C 2.30-2.55
Sc  0.2500  0.5414  0.4037  3 C 2.26-2.29
Sc  0.7500  0.3889  0.0481  4 C 2.30-2.55
Sc  0.7500  0.1365  0.4490  2 C 2.41
Sc  0.2500  0.8635  0.5510  2 C 2.41
Sc  0.7500  0.4586  0.5963  3 C 2.26-2.29
Sc  0.2500  0.2348  0.2321  3 C 2.24-2.45
As  0.2500  0.9255  0.2964  7 Sc 2.75-2.77
As  0.7500  0.0745  0.7036  7 Sc 2.75-2.77
C  0.2500  0.3129  0.4946  6 Sc 2.29-2.45
C  0.7500  0.4746  0.8302  5 Sc 2.26-2.41
C  0.2500  0.8418  0.9114  6 Sc 2.22-2.41
C  0.7500  0.1582  0.0886  6 Sc 2.22-2.41
C  0.7500  0.6871  0.5054  6 Sc 2.29-2.45
C  0.2500  0.5254  0.1698  5 Sc 2.26-2.41

Output
Its energy relative to the elements is -625.2 meV per atom. Its final energy is -7.656 eV per atom. As for the magnetization: 0.0 μB/cell. Its space group is P2_1/m (11). As for the calculated volume: 16.1 Å³ per atom.

Computed, not measured: a relaxed structure of KTl3Cu2Cl6 at the PBE-GGA level of DFT.

Unit cell a=7.9478 b=7.9478 c=8.1424 alpha=90.00 beta=90.00 gamma=120.00
Closest atoms and distances in Å follow each position.
Positions (direct):
Cl  0.3443  0.1721  0.7278  1 Cu 2.22
Cl  0.8279  0.6557  0.7278  1 Cu 2.22
Cl  0.1721  0.8279  0.2722  1 Cu 2.22
Cl  0.8279  0.1721  0.7278  1 Cu 2.22
Cl  0.6557  0.8279  0.2722  1 Cu 2.22
Cl  0.1721  0.3443  0.2722  1 Cu 2.22
Cu  0.3333  0.6667  0.2654  3 Cl 2.22
Cu  0.6667  0.3333  0.7346  3 Cl 2.22
Tl  0.3333  0.6667  0.6147  1 Cu 2.84
Tl  0.0000  0.0000  0.0000  6 Cl 3.24
Tl  0.6667  0.3333  0.3853  1 Cu 2.84
K  0.0000  0.0000  0.5000  6 Cl 3.01

Output
The formation energy (no corrections) comes out at -0.901 eV per atom. Its final energy is -3.191 eV per atom. As for the magnetization: 0.2 μB/cell. Its space group is P-3m1 (164). As for the calculated volume: 37.1 Å³ per atom.

Computed, not measured: a relaxed structure of CaMgZnGe at the PBE-GGA level of DFT.

Unit cell a=4.9397 b=4.9397 c=4.9397 alpha=60.00 beta=60.00 gamma=60.00
Closest atoms and distances in Å follow each position.
Positions (direct):
Mg  0.2500  0.2500  0.2500  4 Ge 3.02, 4 Zn 3.02
Ca  0.7500  0.7500  0.7500  4 Ge 3.02, 4 Zn 3.02
Ge  0.5000  0.5000  0.5000  4 Mg 3.02, 4 Ca 3.02
Zn  0.0000  0.0000  0.0000  4 Mg 3.02, 4 Ca 3.02

Output
Its energy relative to the elements is -309.3 meV per atom. Its final energy is -2.681 eV per atom. As for the magnetization: 0.0 μB/cell. Its space group is F-43m (216). As for the calculated volume: 21.3 Å³ per atom.

Computed, not measured: a relaxed structure of FeTcAu2 at the PBE-GGA level of DFT.

Unit cell a=9.2989 b=9.2989 c=9.2989 alpha=17.46 beta=17.46 gamma=17.46
Closest atoms and distances in Å follow each position.
Positions (direct):
Au  0.9979  0.9979  0.9979  3 Fe 2.76, 6 Au 2.82, 3 Tc 2.86
Au  0.5021  0.5021  0.5021  3 Fe 2.76, 6 Au 2.82, 3 Tc 2.86
Fe  0.2500  0.2500  0.2500  6 Au 2.76, 6 Fe 2.82
Tc  0.7500  0.7500  0.7500  6 Tc 2.82, 6 Au 2.86

Output
Its energy relative to the elements is 371.0 meV per atom. Its final energy is -5.975 eV per atom. Its energy above the most stable polymorph in this dataset is 0.196 eV/atom. As for the magnetization: 3.4 μB/cell. Its space group is R-3m (166). As for the calculated volume: 15.8 Å³ per atom.